Here is crystalline YPd2Pb2 at its relaxed geometry from the Alexandria database. Energies are from GGA-PBE.

Summary:
- Formation enthalpy at 0 K: -0.2994 eV/atom
- Excess energy over the best structure of this formula in the dataset: 243 meV/atom
- Final energy: -5.15 eV per atom

Cell: 4.3538 4.3538 12.7417 Å, 90.00 90.00 90.00°
Element x y z (fractional)
Y  0.0000  0.0000  0.0000
Y  0.5000  0.5000  0.5000
Pd  0.0000  0.0000  0.3980
Pd  0.0000  0.0000  0.6020
Pd  0.5000  0.5000  0.1020
Pd  0.5000  0.5000  0.8980
Pb  0.0000  0.5000  0.2500
Pb  0.0000  0.5000  0.7500
Pb  0.5000  0.0000  0.2500
Pb  0.5000  0.0000  0.7500